1.
A relaxed structure of Li12Nb14ZnO42, computed with PBE-GGA.

Cell: 9.0580 9.2778 9.9061 Å, 103.64 98.78 99.33°
Sites, in units of the cell vectors:
1 Nb 0.9288 0.2143 0.3558
2 Nb 0.5717 0.2874 0.1434
3 Nb 0.7859 0.6432 0.0699
4 Nb 0.2937 0.1408 0.5720
5 Nb 0.4291 0.7154 0.8561
6 Nb 0.1435 0.5720 0.2861
7 Nb 0.5014 0.5074 0.5005
8 Nb 0.0616 0.7785 0.6404
9 Nb 0.6455 0.0678 0.7871
10 Nb 0.2191 0.3582 0.9319
11 Nb 0.8528 0.4323 0.7193
12 Nb 0.0019 0.9985 0.9997
13 Nb 0.3584 0.9299 0.2145
14 Nb 0.7092 0.8522 0.4257
15 O 0.8805 0.9948 0.4043
16 O 0.4000 0.5586 0.6840
17 O 0.4087 0.3869 0.0988
18 O 0.8728 0.7397 0.5164
19 O 0.6874 0.5134 0.6640
20 O 0.7392 0.4257 0.1193
21 O 0.4437 0.0268 0.6700
22 O 0.4504 0.2789 0.5416
23 O 0.5889 0.5976 0.9537
24 O 0.7039 0.2795 0.7994
25 O 0.7302 0.1708 0.2411
26 O 0.1221 0.2372 0.5304
27 O 0.9886 0.4234 0.3691
28 O 0.3013 0.4559 0.3853
29 O 0.8373 0.0966 0.9538
30 O 0.2739 0.5664 0.9388
31 O 0.8301 0.2701 0.5465
32 O 0.6809 0.7031 0.2519
33 O 0.3094 0.7100 0.2612
34 O 0.9796 0.6685 0.2397
35 O 0.2551 0.9848 0.4005
36 O 0.0172 0.3069 0.8119
37 O 0.6116 0.4187 0.3649
38 O 0.2664 0.8101 0.8094
39 O 0.4176 0.1393 0.2247
40 O 0.1685 0.1399 0.9778
41 O 0.5521 0.9574 0.3822
42 O 0.0208 0.5668 0.6881
43 O 0.0415 0.1308 0.2228
44 O 0.7595 0.9974 0.6469
45 O 0.9823 0.8467 0.8324
46 O 0.1114 0.4163 0.1142
47 O 0.3260 0.2726 0.7926
48 O 0.1810 0.7012 0.5078
49 O 0.8466 0.8522 0.0822
50 O 0.5896 0.8624 0.8390
51 O 0.1250 0.9947 0.6554
52 O 0.5398 0.1354 0.9714
53 O 0.4675 0.8425 0.0784
54 O 0.8994 0.5564 0.9338
55 O 0.1590 0.8850 0.1009
56 O 0.5543 0.7138 0.5031
57 Li 0.8882 0.3321 0.9959
58 Li 0.3142 0.0460 0.8520
59 Li 0.4579 0.6230 0.1355
60 Li 0.1053 0.6950 0.9239
61 Li 0.3826 0.8343 0.4941
62 Li 0.5308 0.4070 0.7808
63 Li 0.6045 0.1943 0.4223
64 Li 0.1754 0.4776 0.5664
65 Li 0.8176 0.5467 0.3472
66 Li 0.0317 0.9050 0.2812
67 Li 0.2456 0.2645 0.2104
68 Li 0.6735 0.9771 0.0653
69 Zn 0.9633 0.1225 0.6385

Properties
total magnetization = 0.00 μB/f.u.
ΔE_f (raw) = -237.0 kJ per mole of atoms
Fermi-level density of states = 0.0000 states/eV/atom

=====

2.
A relaxed structure of PuUPaAu, computed with PBE-GGA.

Cell: 4.9612 4.9612 4.9612 Å, 60.00 60.00 60.00°
Each line ends with the local moment (μB).
Sites, in units of the cell vectors:
1 Pa 0.7500 0.7500 0.7500  -0.54
2 U 0.5000 0.5000 0.5000  -0.80
3 Pu 0.2500 0.2500 0.2500  4.89
4 Au 0.0000 0.0000 0.0000  0.02

Properties
ΔE_f = 23 kJ/mol of formula units
total magnetization = 3.63 μB/f.u.
Fermi-level density of states = 3.3529 states/eV/atom

=====

3.
A relaxed structure of CaMg6, computed with PBE-GGA.

Cell: 6.9050 6.9050 6.9050 Å, 109.47 109.47 109.47°
Sites, in units of the cell vectors:
1 Mg 0.7500 0.5000 0.2500
2 Mg 0.2500 0.5000 0.7500
3 Mg 0.2500 0.7500 0.5000
4 Mg 0.7500 0.2500 0.5000
5 Mg 0.5000 0.7500 0.2500
6 Mg 0.5000 0.2500 0.7500
7 Ca 0.0000 0.0000 0.0000

Properties
ΔE_f = 393 kJ/mol of formula units
total magnetization = 0.00 μB/f.u.
ΔE to the lowest computed polymorph = 602.9 meV/atom
Fermi-level density of states = 1.0766 states/eV/atom

=====

4.
A relaxed structure of Li3YCd9, computed with PBE-GGA.

Cell: 5.4047 7.5542 7.5541 Å, 82.60 69.04 68.91°
Sites, in units of the cell vectors:
1 Cd 0.2952 0.2076 0.2176
2 Cd 0.0022 0.3390 0.6469
3 Cd 0.4872 0.7924 0.2176
4 Cd 0.7048 0.7924 0.7824
5 Cd 0.6492 0.3390 0.3531
6 Cd 0.9978 0.6610 0.3531
7 Cd 0.0000 0.5000 0.0000
8 Cd 0.5128 0.2076 0.7824
9 Cd 0.3508 0.6610 0.6469
10 Y 0.0000 0.0000 0.0000
11 Li 0.5000 0.0000 0.5000
12 Li 0.0000 0.0000 0.5000
13 Li 0.5000 0.5000 0.0000

Properties
ΔE_f = -269 kJ/mol of formula units
total magnetization = 0.00 μB/f.u.
Fermi-level density of states = 0.3334 states/eV/atom

=====

5.
A relaxed structure of HfCrIrN2, computed with PBE-GGA.

Cell: 3.9409 5.5106 3.9409 Å, 90.00 90.00 90.00°
Each line ends with the local moment (μB).
Sites, in units of the cell vectors:
1 Ir 0.5000 0.5000 0.5000  0.57
2 N 0.0000 0.0000 0.5000  0.04
3 N 0.5000 0.0000 0.0000  0.01
4 Cr 0.0000 0.5000 0.0000  0.06
5 Hf 0.0000 0.0000 0.0000  0.00

Properties
total magnetization = 0.71 μB/f.u.
ΔE_f (raw) = 159.5 kJ per mole of atoms
Fermi-level density of states = 1.5599 states/eV/atom

=====

6.
A relaxed structure of RbTaS3Br, computed with PBE-GGA.

Cell: 6.5201 8.5122 8.7943 Å, 61.06 93.94 98.16°
Sites, in units of the cell vectors:
1 Ta 0.7500 0.0456 0.9089
2 Ta 0.2500 0.9544 0.0911
3 S 0.0517 0.2033 0.9809
4 S 0.4483 0.8158 0.9809
5 S 0.2500 0.8103 0.3794
6 S 0.5517 0.1842 0.0191
7 S 0.9483 0.7967 0.0191
8 S 0.7500 0.1897 0.6206
9 Br 0.7500 0.4333 0.1333
10 Br 0.2500 0.5667 0.8667
11 Rb 0.2500 0.3379 0.3242
12 Rb 0.7500 0.6621 0.6758

Properties
total magnetization = 0.00 μB/f.u.
ΔE_f (raw) = -83.1 kJ per mole of atoms
Fermi-level density of states = 0.4268 states/eV/atom

=====

7.
A relaxed structure of Tb3Tl2Au, computed with PBE-GGA.

Cell: 6.3597 6.6750 8.3744 Å, 102.50 112.32 90.00°
Sites, in units of the cell vectors:
1 Tb 0.7412 0.9112 0.6806
2 Tb 0.0606 0.5888 0.3194
3 Tb 0.9394 0.4112 0.6806
4 Tb 0.6335 0.2500 0.0000
5 Tb 0.2588 0.0888 0.3194
6 Tb 0.3665 0.7500 0.0000
7 Au 0.1298 0.2500 0.0000
8 Au 0.8702 0.7500 0.0000
9 Tl 0.2269 0.9469 0.6664
10 Tl 0.4395 0.4469 0.6664
11 Tl 0.7731 0.0531 0.3336
12 Tl 0.5605 0.5531 0.3336

Properties
ΔE_f = -244 kJ/mol of formula units
total magnetization = 0.00 μB/f.u.
ΔE to the lowest computed polymorph = 99.5 meV/atom
Fermi-level density of states = 0.7440 states/eV/atom

=====

8.
A relaxed structure of PmBe2SeO8, computed with PBE-GGA.

Cell: 4.6240 4.6240 6.8565 Å, 90.02 90.02 67.52°
Each line ends with the local moment (μB).
Sites, in units of the cell vectors:
1 O 0.7666 0.7666 0.0203  0.44
2 O 0.7744 0.2512 0.1932  0.15
3 O 0.2334 0.2334 0.9797  0.44
4 O 0.6992 0.6992 0.4282  0.55
5 O 0.7488 0.2256 0.8068  0.15
6 O 0.3008 0.3008 0.5718  0.55
7 O 0.2512 0.7744 0.1932  0.15
8 O 0.2256 0.7488 0.8068  0.15
9 Be 0.3688 0.3688 0.7947  -0.01
10 Be 0.6312 0.6312 0.2053  -0.01
11 Se 0.0000 0.0000 0.0000  -0.03
12 Pm 0.0000 0.0000 0.5000  -0.03

Properties
total magnetization = 3.01 μB/f.u.
ΔE_f (raw) = -142.9 kJ per mole of atoms
Fermi-level density of states = 0.3978 states/eV/atom

=====

9.
A relaxed structure of SrAcBeO4, computed with PBE-GGA.

Cell: 5.7971 4.7667 7.6642 Å, 90.00 101.69 90.00°
Each line ends with the local moment (μB).
Sites, in units of the cell vectors:
1 Ac 0.2488 0.2500 0.5578  0.00
2 Ac 0.7512 0.7500 0.4422  0.00
3 Be 0.2318 0.7500 0.2801  0.00
4 Be 0.7682 0.2500 0.7199  0.00
5 Sr 0.7389 0.7500 0.9642  0.00
6 Sr 0.2611 0.2500 0.0358  0.00
7 O 0.9813 0.0095 0.7645  0.10
8 O 0.4337 0.7500 0.1623  0.00
9 O 0.9813 0.4905 0.7645  0.10
10 O 0.6596 0.2500 0.5039  0.00
11 O 0.0187 0.9905 0.2355  0.10
12 O 0.0187 0.5095 0.2355  0.10
13 O 0.3404 0.7500 0.4961  0.00
14 O 0.5663 0.2500 0.8377  0.00

Properties
total magnetization = 0.21 μB/f.u.
ΔE_f (raw) = -258.1 kJ per mole of atoms
Fermi-level density of states = 0.1850 states/eV/atom

=====

10.
A relaxed structure of Ta2TcSe, computed with PBE-GGA.

Cell: 3.9609 3.9609 9.6768 Å, 78.19 78.19 90.00°
Sites, in units of the cell vectors:
1 Ta 0.3750 0.3817 0.7500
2 Ta 0.6183 0.1250 0.2500
3 Ta 0.1317 0.6250 0.2500
4 Ta 0.8750 0.8683 0.7500
5 Se 0.5000 0.5000 0.0000
6 Se 0.2500 0.7500 0.5000
7 Tc 0.0000 0.0000 0.0000
8 Tc 0.7500 0.2500 0.5000

Properties
total magnetization = 0.00 μB/f.u.
ΔE_f (raw) = 50.9 kJ per mole of atoms
Fermi-level density of states = 0.7807 states/eV/atom

=====

11.
A relaxed structure of MgNi14Mo, computed with PBE-GGA.

Cell: 5.0625 5.0625 7.1360 Å, 90.00 90.00 90.00°
Each line ends with the local moment (μB).
Sites, in units of the cell vectors:
1 Ni 0.8750 0.3750 0.0000  0.54
2 Ni 0.6277 0.1223 0.7581  0.41
3 Ni 0.8750 0.8750 0.0000  0.82
4 Ni 0.3750 0.8750 0.0000  0.54
5 Ni 0.6277 0.1223 0.2419  0.41
6 Ni 0.1223 0.6277 0.2419  0.41
7 Ni 0.1223 0.6277 0.7581  0.41
8 Ni 0.6277 0.6277 0.7581  0.41
9 Ni 0.6277 0.6277 0.2419  0.41
10 Ni 0.8750 0.3750 0.5000  0.17
11 Ni 0.1223 0.1223 0.7581  0.41
12 Ni 0.3750 0.3750 0.0000  0.58
13 Ni 0.1223 0.1223 0.2419  0.41
14 Ni 0.3750 0.8750 0.5000  0.17
15 Mg 0.3750 0.3750 0.5000  -0.01
16 Mo 0.8750 0.8750 0.5000  -0.03

Properties
ΔE_f = -51 kJ/mol of formula units
total magnetization = 5.75 μB/f.u.
Fermi-level density of states = 1.6088 states/eV/atom